[1]
Entry from the Alexandria database: a relaxed Ce3GaFe crystal (PBE).

It has space group C2/m (No. 12), with a = 13.2862 Å, b = 4.4207 Å, c = 9.9478 Å, α = 90.00°, β = 127.62° and γ = 90.00°. The asymmetric unit holds Ce at (0.1327, 0.0000, 0.2492), Ce at (0.1657, 0.0000, 0.6571), Ce at (0.1778, 0.5000, 0.9878), Ga at (0.0424, 0.5000, 0.3933) and Fe at (0.0295, 0.0000, 0.7532).

For the energy above the most stable polymorph in this dataset, the calculation gives 0 meV per atom. As for the crystal system: monoclinic. Its raw total energy is -0.223 hartree per atom. The value obtained for the density of states at the Fermi level is 1.3431 states/eV/atom. The value obtained for the total magnetization is 0.00 μB/atom.

[2]
Entry from the Alexandria database: a relaxed CeGa3Fe crystal (PBE).

It has space group Pm-3m (No. 221), with a = 4.5718 Å, b = 4.5718 Å, c = 4.5718 Å, α = 90.00°, β = 90.00° and γ = 90.00°. The asymmetric unit holds Ce at (0.0000, 0.0000, 0.0000), Ga at (0.0000, 0.5000, 0.5000) and Fe at (0.5000, 0.5000, 0.5000).

For the energy above the most stable polymorph in this dataset, the calculation gives 40 meV per atom. As for the crystal system: cubic. Its raw total energy is -0.186 hartree per atom. The value obtained for the density of states at the Fermi level is 2.0465 states/eV/atom. The value obtained for the total magnetization is 0.26 μB/atom.

[3]
Entry from the Alexandria database: a relaxed CeGa9Fe3 crystal (PBE).

It has space group C2/m (No. 12), with a = 5.0818 Å, b = 12.6513 Å, c = 6.7235 Å, α = 90.00°, β = 110.83° and γ = 90.00°. The asymmetric unit holds Ce at (0.0000, 0.0000, 0.0000), Ga at (0.0000, 0.0000, 0.5000), Ga at (0.0952, 0.3888, 0.2117), Ga at (0.1791, 0.1789, 0.3388), Fe at (0.0000, 0.5000, 0.5000) and Fe at (0.2500, 0.2500, 0.0000).

As for the crystal system: monoclinic. Its raw total energy is -0.174 hartree per atom. The value obtained for the density of states at the Fermi level is 0.5510 states/eV/atom. The value obtained for the total magnetization is 0.28 μB/atom.

[4]
Entry from the Alexandria database: a relaxed Ce6Ga3Fe crystal (PBE).

It has space group R-3m (No. 166, hexagonal axes), with a = 10.7874 Å, b = 10.7874 Å, c = 14.4191 Å, α = 90.00°, β = 90.00° and γ = 120.00°. The asymmetric unit holds Ce at (0.1056, 0.5528, 0.0647), Ce at (0.1103, 0.5551, 0.7778), Ga at (0.0590, 0.5295, 0.4125), Fe at (0.0000, 0.0000, 0.0000) and Fe at (0.0000, 0.0000, 0.5000).

As for the crystal system: trigonal. Its raw total energy is -0.204 hartree per atom. The value obtained for the density of states at the Fermi level is 2.2882 states/eV/atom. The value obtained for the total magnetization is 0.00 μB/atom.

[5]
Entry from the Alexandria database: a relaxed Ce4Ga16Fe3 crystal (PBE).

It has space group P4/mmm (No. 123), with a = 6.1123 Å, b = 6.1123 Å, c = 11.2157 Å, α = 90.00°, β = 90.00° and γ = 90.00°. The asymmetric unit holds Ce at (0.0000, 0.5000, 0.1968), Ga at (0.0000, 0.0000, 0.1978), Ga at (0.2183, 0.2183, 0.0000), Ga at (0.2509, 0.2509, 0.3866), Ga at (0.5000, 0.5000, 0.2200), Fe at (0.0000, 0.5000, 0.5000) and Fe at (0.5000, 0.5000, 0.0000).

As for the crystal system: tetragonal. Its raw total energy is -0.172 hartree per atom. The value obtained for the density of states at the Fermi level is 0.7579 states/eV/atom. The value obtained for the total magnetization is 0.02 μB/atom.

[6]
Entry from the Alexandria database: a relaxed CeGa3Fe3 crystal (PBE).

It has space group Pm-3n (No. 223), with a = 6.5531 Å, b = 6.5531 Å, c = 6.5531 Å, α = 90.00°, β = 90.00° and γ = 90.00°. The asymmetric unit holds Ce at (0.0000, 0.0000, 0.0000), Ga at (0.0000, 0.2500, 0.5000) and Fe at (0.0000, 0.5000, 0.2500).

As for the crystal system: cubic. Its raw total energy is -0.198 hartree per atom. The value obtained for the density of states at the Fermi level is 2.4909 states/eV/atom. The value obtained for the total magnetization is 0.68 μB/atom.